# Pm2Ag2Hg

A relaxed structure of Pm2Ag2Hg (PBE-GGA, the Alexandria database).

Cell lengths 4.600, 5.826, 10.820 Å; angles 73.58, 77.73, 66.75 degrees
Fractional positions:
Pm: 0.396 0.814 0.895
Pm: 0.896 0.314 0.395
Pm: 0.604 0.186 0.105
Pm: 0.104 0.686 0.605
Ag: 0.393 0.107 0.607
Ag: 0.107 0.393 0.893
Ag: 0.607 0.893 0.393
Ag: 0.893 0.607 0.107
Hg: 0.250 0.750 0.250
Hg: 0.750 0.250 0.750

Values from the calculation:
Mass density (kg/m³): 9240
Total DFT energy (no corrections) (eV/atom): -3.383
Formation enthalpy at 0 K (eV/f.u.): -1.41
Total magnetization (μB/atom): 0.000